(1)
Computed, not measured: an optimized crystal structure of ZnInTc3 at the PBE-GGA level of DFT.

The structure belongs to space group Pm-3m (No. 221); the cell edges are 4.558, 4.558 and 4.558 Å and the angles 90.00°, 90.00° and 90.00°. The inequivalent atoms are Zn at (0.000, 0.000, 0.000), In at (0.500, 0.500, 0.500) and Tc at (0.000, 0.000, 0.500).

As for the crystal system: cubic. As for the density of states at the Fermi level: 8.959 states/eV per cell. The value obtained for the energy above the most stable polymorph in this dataset is 0.0 kJ per mole of atoms.

(2)
Computed, not measured: an optimized crystal structure of ZnIn2Tc at the PBE-GGA level of DFT.

The structure belongs to space group P4mm (No. 99); the cell edges are 3.592, 3.592 and 5.768 Å and the angles 90.00°, 90.00° and 90.00°. The inequivalent atoms are Zn at (0.000, 0.000, 0.000), In at (0.000, 0.000, 0.548), In at (0.500, 0.500, 0.252) and Tc at (0.500, 0.500, 0.774).

As for the crystal system: tetragonal. As for the density of states at the Fermi level: 3.229 states/eV per cell.

(3)
Computed, not measured: an optimized crystal structure of ZnIn2Tc at the PBE-GGA level of DFT.

The structure belongs to space group R-3m (No. 166, hexagonal axes); the cell edges are 3.1455, 3.1455 and 26.7781 Å and the angles 90.00°, 90.00° and 120.00°. The inequivalent atoms are Zn at (0.0000, 0.0000, 0.0000), In at (0.0000, 0.0000, 0.2472) and Tc at (0.0000, 0.0000, 0.5000).

As for the crystal system: trigonal. As for the density of states at the Fermi level: 7.421 states/eV per cell.

(4)
Computed, not measured: an optimized crystal structure of ZnIn2Tc at the PBE-GGA level of DFT.

The structure belongs to space group I-42d (No. 122); the cell edges are 7.496, 7.496 and 5.691 Å and the angles 90.00°, 90.00° and 90.00°. The inequivalent atoms are Zn at (0.000, 0.000, 0.000), In at (0.244, 0.250, 0.125) and Tc at (0.000, 0.000, 0.500).

As for the crystal system: tetragonal. As for the density of states at the Fermi level: 7.321 states/eV per cell.

(5)
Computed, not measured: an optimized crystal structure of ZnInTc at the PBE-GGA level of DFT.

The structure belongs to space group I4mm (No. 107); the cell edges are 3.274, 3.274 and 9.497 Å and the angles 90.00°, 90.00° and 90.00°. The inequivalent atoms are Zn at (0.000, 0.000, 0.000), In at (0.000, 0.000, 0.694) and Tc at (0.000, 0.000, 0.374).

As for the crystal system: tetragonal. As for the density of states at the Fermi level: 3.840 states/eV per cell. The value obtained for the energy above the most stable polymorph in this dataset is 11.2 kJ per mole of atoms.

(6)
Computed, not measured: an optimized crystal structure of ZnIn2Tc at the PBE-GGA level of DFT.

The structure belongs to space group Cm (No. 8); the cell edges are 10.890, 2.926 and 4.916 Å and the angles 90.00°, 105.26° and 90.00°. The inequivalent atoms are Zn at (0.000, 0.000, 0.000), In at (0.066, 0.500, 0.545), In at (0.273, 0.500, 0.180) and Tc at (0.309, 0.000, 0.695).

As for the crystal system: monoclinic. As for the density of states at the Fermi level: 5.590 states/eV per cell.

(7)
Computed, not measured: an optimized crystal structure of ZrInTc at the PBE-GGA level of DFT.

The structure belongs to space group Cmcm (No. 63); the cell edges are 4.655, 10.763 and 4.655 Å and the angles 90.00°, 90.00° and 90.00°. The inequivalent atoms are Zr at (0.000, 0.107, 0.250), In at (0.000, 0.402, 0.250) and Tc at (0.000, 0.244, 0.750).

As for the crystal system: orthorhombic. As for the density of states at the Fermi level: 5.218 states/eV per cell. The value obtained for the energy above the most stable polymorph in this dataset is 3.7 kJ per mole of atoms.

(8)
Computed, not measured: an optimized crystal structure of Zr3InTc2 at the PBE-GGA level of DFT.

The structure belongs to space group P4/mmm (No. 123); the cell edges are 3.368, 3.368 and 10.281 Å and the angles 90.00°, 90.00° and 90.00°. The inequivalent atoms are Zr at (0.000, 0.000, 0.000), Zr at (0.000, 0.000, 0.308), In at (0.500, 0.500, 0.500) and Tc at (0.500, 0.500, 0.163).

As for the crystal system: tetragonal. As for the density of states at the Fermi level: 2.924 states/eV per cell.

(9)
Computed, not measured: an optimized crystal structure of ZrInTc4 at the PBE-GGA level of DFT.

The structure belongs to space group F-43m (No. 216); the cell edges are 7.429, 7.429 and 7.429 Å and the angles 90.00°, 90.00° and 90.00°. The inequivalent atoms are Zr at (0.000, 0.000, 0.000), In at (0.250, 0.250, 0.250) and Tc at (0.124, 0.124, 0.624).

As for the crystal system: cubic. As for the density of states at the Fermi level: 23.797 states/eV per cell.

(10)
Computed, not measured: an optimized crystal structure of Zr3InTc at the PBE-GGA level of DFT.

The structure belongs to space group Pm-3m (No. 221); the cell edges are 5.161, 5.161 and 5.161 Å and the angles 90.00°, 90.00° and 90.00°. The inequivalent atoms are Zr at (0.000, 0.000, 0.500), In at (0.000, 0.000, 0.000) and Tc at (0.500, 0.500, 0.500).

As for the crystal system: cubic. As for the density of states at the Fermi level: 9.377 states/eV per cell. The value obtained for the energy above the most stable polymorph in this dataset is 173.6 kJ per mole of atoms.

(11)
Computed, not measured: an optimized crystal structure of ZrInTc at the PBE-GGA level of DFT.

The structure belongs to space group I4mm (No. 107); the cell edges are 3.479, 3.479 and 9.557 Å and the angles 90.00°, 90.00° and 90.00°. The inequivalent atoms are Zr at (0.000, 0.000, 0.000), In at (0.000, 0.000, 0.691) and Tc at (0.000, 0.000, 0.360).

As for the crystal system: tetragonal. The value obtained for the energy above the most stable polymorph in this dataset is 0.0 kJ per mole of atoms.

(12)
Computed, not measured: an optimized crystal structure of Zr4In5Tc2 at the PBE-GGA level of DFT.

The structure belongs to space group P2/m (No. 10); the cell edges are 7.684, 3.354 and 9.397 Å and the angles 90.00°, 94.05° and 90.00°. The inequivalent atoms are Zr at (0.186, 0.000, 0.350), Zr at (0.207, 0.000, 0.936), In at (0.156, 0.500, 0.638), In at (0.459, 0.500, 0.167), In at (0.500, 0.500, 0.500) and Tc at (0.080, 0.500, 0.140).

As for the crystal system: monoclinic. As for the density of states at the Fermi level: 8.014 states/eV per cell.

(13)
Computed, not measured: an optimized crystal structure of Zr6InTc at the PBE-GGA level of DFT.

The structure belongs to space group R-3 (No. 148, hexagonal axes); the cell edges are 8.2154, 8.2154 and 8.9645 Å and the angles 90.00°, 90.00° and 120.00°. The inequivalent atoms are Zr at (0.0171, 0.7762, 0.2207), In at (0.0000, 0.0000, 0.5000) and Tc at (0.0000, 0.0000, 0.0000).

As for the crystal system: trigonal. As for the density of states at the Fermi level: 24.073 states/eV per cell.

(14)
Computed, not measured: an optimized crystal structure of ZrInTc at the PBE-GGA level of DFT.

The structure belongs to space group Fmm2 (No. 42); the cell edges are 3.466, 5.030 and 13.619 Å and the angles 90.00°, 90.00° and 90.00°. The inequivalent atoms are Zr at (0.000, 0.000, 0.000), In at (0.000, 0.000, 0.310) and Tc at (0.000, 0.000, 0.647).

As for the crystal system: orthorhombic. As for the density of states at the Fermi level: 5.643 states/eV per cell. The value obtained for the energy above the most stable polymorph in this dataset is 24.9 kJ per mole of atoms.

(15)
Computed, not measured: an optimized crystal structure of Zr4In3Tc at the PBE-GGA level of DFT.

The structure belongs to space group P4/mmm (No. 123); the cell edges are 3.269, 3.269 and 15.998 Å and the angles 90.00°, 90.00° and 90.00°. The inequivalent atoms are Zr at (0.000, 0.000, 0.100), Zr at (0.000, 0.000, 0.367), In at (0.500, 0.500, 0.237), In at (0.500, 0.500, 0.500) and Tc at (0.500, 0.500, 0.000).

As for the crystal system: tetragonal. As for the density of states at the Fermi level: 6.258 states/eV per cell.

(16)
Computed, not measured: an optimized crystal structure of ZrInTc at the PBE-GGA level of DFT.

The structure belongs to space group F-43m (No. 216); the cell edges are 6.451, 6.451 and 6.451 Å and the angles 90.00°, 90.00° and 90.00°. The inequivalent atoms are Zr at (0.000, 0.000, 0.000), In at (0.000, 0.000, 0.500) and Tc at (0.250, 0.250, 0.750).

As for the crystal system: cubic. As for the density of states at the Fermi level: 12.884 states/eV per cell. The value obtained for the energy above the most stable polymorph in this dataset is 42.2 kJ per mole of atoms.

(17)
Computed, not measured: an optimized crystal structure of Zr3InTc at the PBE-GGA level of DFT.

The structure belongs to space group Pm-3m (No. 221); the cell edges are 5.028, 5.028 and 5.028 Å and the angles 90.00°, 90.00° and 90.00°. The inequivalent atoms are Zr at (0.000, 0.000, 0.500), In at (0.500, 0.500, 0.500) and Tc at (0.000, 0.000, 0.000).

As for the crystal system: cubic. As for the density of states at the Fermi level: 9.141 states/eV per cell. The value obtained for the energy above the most stable polymorph in this dataset is 46.2 kJ per mole of atoms.

(18)
Computed, not measured: an optimized crystal structure of ZrInTc at the PBE-GGA level of DFT.

The structure belongs to space group P3m1 (No. 156); the cell edges are 4.7214, 4.7214 and 2.9702 Å and the angles 90.00°, 90.00° and 120.00°. The inequivalent atoms are Zr at (0.0000, 0.0000, 0.0000), In at (0.3333, 0.6667, 0.4321) and Tc at (0.6667, 0.3333, 0.7392).

As for the crystal system: trigonal. As for the density of states at the Fermi level: 1.158 states/eV per cell. The value obtained for the energy above the most stable polymorph in this dataset is 16.4 kJ per mole of atoms.

(19)
Computed, not measured: an optimized crystal structure of Zr2In2Tc at the PBE-GGA level of DFT.

The structure belongs to space group P4/mbm (No. 127); the cell edges are 7.277, 7.277 and 3.968 Å and the angles 90.00°, 90.00° and 90.00°. The inequivalent atoms are Zr at (0.172, 0.328, 0.000), In at (0.135, 0.635, 0.500) and Tc at (0.000, 0.000, 0.500).

As for the crystal system: tetragonal. As for the density of states at the Fermi level: 5.189 states/eV per cell.

(20)
Computed, not measured: an optimized crystal structure of Zr3In3Tc2 at the PBE-GGA level of DFT.

The structure belongs to space group P-62m (No. 189); the cell edges are 7.4955, 7.4955 and 3.3889 Å and the angles 90.00°, 90.00° and 120.00°. The inequivalent atoms are Zr at (0.0000, 0.5764, 0.0000), In at (0.0000, 0.2348, 0.5000) and Tc at (0.3333, 0.6667, 0.5000).

As for the crystal system: hexagonal. As for the density of states at the Fermi level: 5.808 states/eV per cell.

| no. | calculated formation energy (eV per atom) | uncorrected energy (eV/atom) |
| --- | --- | --- |
| 1 | 1.46 | -5.567 |
| 2 | 0.23 | -4.052 |
| 3 | 0.30 | -3.975 |
| 4 | 0.57 | -3.705 |
| 5 | 0.28 | -4.513 |
| 6 | 0.22 | -4.063 |
| 7 | -0.18 | -7.397 |
| 8 | -0.38 | -8.569 |
| 9 | -0.07 | -8.862 |
| 10 | 1.64 | -6.114 |
| 11 | -0.22 | -7.435 |
| 12 | -0.25 | -6.487 |
| 13 | -0.15 | -8.200 |
| 14 | 0.04 | -7.178 |
| 15 | -0.32 | -6.921 |
| 16 | 0.22 | -6.998 |
| 17 | 0.32 | -7.433 |
| 18 | -0.05 | -7.265 |
| 19 | 0.00 | -6.586 |
| 20 | -0.23 | -7.056 |